First-principles (PBE) data for a relaxed TlAu2N crystal, as listed in Alexandria via LeMat-Bulk.

D(E_F) ... 0.993 states/eV per cell
Energy above the most stable polymorph in this dataset ... 767 meV/atom
Raw formation energy ... 1.2126 eV/atom
Uncorrected energy ... -0.114 Ha/atom
Volume ... 69 Å³ per cell

extended XYZ file:
```
4
Lattice="3.583 -2.549 1.400 0.500 -1.017 4.473 -0.677 -4.320 1.474" Properties=species:S:1:pos:R:3 pbc="T T T"
Au 2.555 -5.914 5.510
Tl 1.703 -3.943 3.674
N 0.000 0.000 0.000
Au 0.852 -1.971 1.837
```